1.
A relaxed Cu7Ag3 crystal, computed with GGA-PBE.

Offset from the most stable computed form (meV/atom): 34
ΔE_f (kJ/mol of formula units): 76.1
Symmetry: Pm, No. 6

Lattice parameters (Å, degrees): 6.6766 2.7645 7.4958 90.00 99.26 90.00
With the nearest neighbours (Å) after each atom.
Sites, in units of the cell vectors:
Cu1 0.0000 0.0000 0.0000  9 Cu 2.49-2.76, 2 Ag 2.71
Cu2 0.0713 0.5000 0.2867  7 Cu 2.54-2.76, 4 Ag 2.77-2.82
Cu3 0.2795 0.5000 0.9133  8 Cu 2.49-2.76, 3 Ag 2.69-2.71
Cu4 0.3606 0.0000 0.1992  9 Cu 2.53-2.76, 2 Ag 2.80
Cu5 0.4357 0.5000 0.4863  7 Cu 2.53-2.76, 4 Ag 2.66-2.68
Cu6 0.5366 0.0000 0.7687  8 Cu 2.50-2.76, 3 Ag 2.70-2.71
Cu7 0.8397 0.5000 0.7336  6 Cu 2.50-2.76, 4 Ag 2.73-2.76
Ag1 0.1423 0.0000 0.6103  9 Cu 2.68-2.77, 3 Ag 2.76-2.78
Ag2 0.6743 0.5000 0.0732  9 Cu 2.70-2.93, 4 Ag 2.76-2.87
Ag3 0.7534 0.0000 0.4120  7 Cu 2.66-2.84, 5 Ag 2.76-2.87

---

2.
A relaxed Tb2SbAs crystal, computed with GGA-PBE.

Uncorrected energy (eV/atom): -5.80
Symmetry: P4/mmm, No. 123

Lattice parameters (Å, degrees): 4.2722 4.2722 6.0476 90.00 90.00 90.00
With the nearest neighbours (Å) after each atom.
Sites, in units of the cell vectors:
Tb1 0.0000 0.0000 0.0000  4 As 3.02, 2 Sb 3.02
Tb2 0.5000 0.5000 0.5000  4 Sb 3.02, 2 As 3.02
Sb1 0.0000 0.0000 0.5000  6 Tb 3.02
As1 0.5000 0.5000 0.0000  6 Tb 3.02

---

3.
A relaxed SrYTe3Pd crystal, computed with GGA-PBE.

Offset from the most stable computed form (meV/atom): 19
Symmetry: Cmcm, No. 63

Lattice parameters (Å, degrees): 7.7951 7.7951 11.1243 90.00 90.00 148.42
With the nearest neighbours (Å) after each atom.
Sites, in units of the cell vectors:
Sr1 0.2386 0.7614 0.7500  6 Te 3.34-3.40
Sr2 0.7614 0.2386 0.2500  6 Te 3.34-3.40
Y1 0.0000 0.0000 0.0000  6 Te 3.06-3.09
Y2 0.0000 0.0000 0.5000  6 Te 3.06-3.09
Te1 0.0843 0.9157 0.2500  2 Pd 2.71
Te2 0.3565 0.6435 0.0573  1 Pd 2.76
Te3 0.3565 0.6435 0.4427  1 Pd 2.76
Te4 0.6435 0.3565 0.5573  1 Pd 2.76
Te5 0.6435 0.3565 0.9427  1 Pd 2.76
Te6 0.9157 0.0843 0.7500  2 Pd 2.71
Pd1 0.4719 0.5281 0.2500  4 Te 2.71-2.76
Pd2 0.5281 0.4719 0.7500  4 Te 2.71-2.76

---

Number 1 is which compound? Cu7Ag3